Record 1
VASP calculation (GGA-PBEsol) on a relaxed structure of LiInAu2.

Summary:
The value obtained for the density is 12.59 g/cm3.

Cell lengths 3.082, 3.494, 6.314 Å; angles 90.00, 90.00, 90.00 degrees
Space group Pmmm (No. 47)
Inequivalent atoms, fractional coordinates:
Li: 0.000 0.000 0.000 [1 per cell]
In: 0.000 0.000 0.500 [1 per cell]
Au: 0.500 0.500 0.224 [2 per cell]

***

Record 2
VASP calculation (GGA-PBEsol) on a relaxed structure of Li2InAu.

Summary:
The value obtained for the density is 8.32 g/cm3.

Cell lengths 4.197, 4.197, 3.692 Å; angles 90.00, 90.00, 90.00 degrees
Space group P4/mmm (No. 123)
Inequivalent atoms, fractional coordinates:
Li: 0.000 0.500 0.000 [2 per cell]
In: 0.000 0.000 0.500 [1 per cell]
Au: 0.500 0.500 0.500 [1 per cell]

***

Number 1: ΔH_f (0 K) -0.358 eV/atom. Number 2: ΔH_f (0 K) -0.428 eV/atom.